{"formula": "NbVF6", "functional": "PBE with a Hubbard U", "state": "optimized geometry", "cell": [[2.903, 1.676, 4.731], [-2.903, 1.676, 4.731], [0.000, -3.353, 4.731]], "species": ["Nb", "V", "F", "F", "F", "F", "F", "F"], "fractional_positions": [[0.000, 0.000, 0.000], [0.500, 0.500, 0.500], [0.246, 0.246, 0.754], [0.246, 0.754, 0.246], [0.246, 0.754, 0.754], [0.754, 0.246, 0.246], [0.754, 0.246, 0.754], [0.754, 0.754, 0.246]], "total_energy_ev_per_atom": -6.44, "magmom_total_mub_per_atom": 0.50, "space_group": "No. 166"}